Record 1
# ScZn7Co5 (GGA-PBE, optimized geometry)
data_ScZn7Co5
_symmetry_space_group_name_H-M 'P 1'
_symmetry_Int_Tables_number 1
_cell_length_a 6.486
_cell_length_b 6.486
_cell_length_c 6.486
_cell_angle_alpha 135.25
_cell_angle_beta 98.67
_cell_angle_gamma 97.99
loop_
_symmetry_equiv_pos_as_xyz
'x,y,z'
loop_
_atom_site_label
_atom_site_type_symbol
_atom_site_fract_x
_atom_site_fract_y
_atom_site_fract_z
_atom_site_occupancy
Sc1 Sc 0.000 0.000 0.000 1
Zn1 Zn 0.241 0.534 0.707 1
Zn2 Zn 0.259 0.759 0.500 1
Zn3 Zn 0.347 0.347 0.000 1
Zn4 Zn 0.380 0.040 0.340 1
Zn5 Zn 0.678 0.678 0.000 1
Zn6 Zn 0.701 0.040 0.660 1
Zn7 Zn 0.827 0.534 0.293 1
Co1 Co 0.031 0.033 0.487 1
Co2 Co 0.031 0.543 0.998 1
Co3 Co 0.546 0.033 0.002 1
Co4 Co 0.546 0.543 0.513 1
Co5 Co 0.804 0.304 0.500 1
# Energy of formation in meV/atom: -134
# Total magnetic moment in Bohr magnetons per cell: 5.21


Record 2
# ScZn11Co (GGA-PBE, optimized geometry)
data_ScZn11Co
_symmetry_space_group_name_H-M 'P 1'
_symmetry_Int_Tables_number 1
_cell_length_a 6.729
_cell_length_b 6.729
_cell_length_c 6.610
_cell_angle_alpha 98.03
_cell_angle_beta 98.03
_cell_angle_gamma 135.71
loop_
_symmetry_equiv_pos_as_xyz
'x,y,z'
loop_
_atom_site_label
_atom_site_type_symbol
_atom_site_fract_x
_atom_site_fract_y
_atom_site_fract_z
_atom_site_occupancy
Sc1 Sc 0.000 0.000 0.000 1
Zn1 Zn 0.000 0.500 0.000 1
Zn2 Zn 0.010 0.672 0.646 1
Zn3 Zn 0.279 0.489 0.785 1
Zn4 Zn 0.328 0.990 0.354 1
Zn5 Zn 0.489 0.279 0.785 1
Zn6 Zn 0.500 0.000 0.000 1
Zn7 Zn 0.500 0.500 0.500 1
Zn8 Zn 0.511 0.721 0.215 1
Zn9 Zn 0.672 0.010 0.646 1
Zn10 Zn 0.721 0.511 0.215 1
Zn11 Zn 0.990 0.328 0.354 1
Co1 Co 0.000 0.000 0.500 1
# Energy of formation in meV/atom: -137
# Total magnetic moment in Bohr magnetons per cell: 0.00


Record 3
# Sc2ZnCo2 (GGA-PBE, optimized geometry)
data_Sc2ZnCo2
_symmetry_space_group_name_H-M 'P 1'
_symmetry_Int_Tables_number 1
_cell_length_a 5.175
_cell_length_b 5.175
_cell_length_c 7.354
_cell_angle_alpha 104.68
_cell_angle_beta 104.68
_cell_angle_gamma 56.98
loop_
_symmetry_equiv_pos_as_xyz
'x,y,z'
loop_
_atom_site_label
_atom_site_type_symbol
_atom_site_fract_x
_atom_site_fract_y
_atom_site_fract_z
_atom_site_occupancy
Sc1 Sc 0.012 0.696 0.854 1
Sc2 Sc 0.304 0.988 0.646 1
Sc3 Sc 0.696 0.012 0.354 1
Sc4 Sc 0.988 0.304 0.146 1
Zn1 Zn 0.343 0.657 0.250 1
Zn2 Zn 0.657 0.343 0.750 1
Co1 Co 0.205 0.510 0.490 1
Co2 Co 0.490 0.795 0.010 1
Co3 Co 0.510 0.205 0.990 1
Co4 Co 0.795 0.490 0.510 1
# Energy of formation in meV/atom: -342
# Total magnetic moment in Bohr magnetons per cell: 0.00


Record 4
# Sc6ZnCo2 (GGA-PBE, optimized geometry)
data_Sc6ZnCo2
_symmetry_space_group_name_H-M 'P 1'
_symmetry_Int_Tables_number 1
_cell_length_a 7.693
_cell_length_b 7.693
_cell_length_c 7.693
_cell_angle_alpha 111.69
_cell_angle_beta 110.61
_cell_angle_gamma 106.16
loop_
_symmetry_equiv_pos_as_xyz
'x,y,z'
loop_
_atom_site_label
_atom_site_type_symbol
_atom_site_fract_x
_atom_site_fract_y
_atom_site_fract_z
_atom_site_occupancy
Sc1 Sc 0.041 0.240 0.801 1
Sc2 Sc 0.183 0.279 0.462 1
Sc3 Sc 0.183 0.721 0.904 1
Sc4 Sc 0.325 0.020 0.695 1
Sc5 Sc 0.325 0.630 0.305 1
Sc6 Sc 0.440 0.240 0.199 1
Sc7 Sc 0.560 0.760 0.801 1
Sc8 Sc 0.675 0.370 0.695 1
Sc9 Sc 0.675 0.980 0.305 1
Sc10 Sc 0.817 0.279 0.096 1
Sc11 Sc 0.817 0.721 0.538 1
Sc12 Sc 0.959 0.760 0.199 1
Zn1 Zn 0.000 0.000 0.000 1
Zn2 Zn 0.500 0.500 0.000 1
Co1 Co 0.122 0.622 0.500 1
Co2 Co 0.342 0.000 0.342 1
Co3 Co 0.658 0.000 0.658 1
Co4 Co 0.878 0.378 0.500 1
# Energy of formation in meV/atom: -279
# Total magnetic moment in Bohr magnetons per cell: 0.00


Record 5
# Sc5ZnCo (GGA-PBE, optimized geometry)
data_Sc5ZnCo
_symmetry_space_group_name_H-M 'P 1'
_symmetry_Int_Tables_number 1
_cell_length_a 5.290
_cell_length_b 5.290
_cell_length_c 11.029
_cell_angle_alpha 101.88
_cell_angle_beta 101.88
_cell_angle_gamma 77.39
loop_
_symmetry_equiv_pos_as_xyz
'x,y,z'
loop_
_atom_site_label
_atom_site_type_symbol
_atom_site_fract_x
_atom_site_fract_y
_atom_site_fract_z
_atom_site_occupancy
Sc1 Sc 0.003 0.997 0.750 1
Sc2 Sc 0.080 0.417 0.624 1
Sc3 Sc 0.203 0.538 0.927 1
Sc4 Sc 0.417 0.080 0.124 1
Sc5 Sc 0.462 0.797 0.573 1
Sc6 Sc 0.538 0.203 0.427 1
Sc7 Sc 0.583 0.920 0.876 1
Sc8 Sc 0.797 0.462 0.073 1
Sc9 Sc 0.920 0.583 0.376 1
Sc10 Sc 0.997 0.003 0.250 1
Zn1 Zn 0.409 0.591 0.250 1
Zn2 Zn 0.591 0.409 0.750 1
Co1 Co 0.000 0.000 0.000 1
Co2 Co 0.000 0.000 0.500 1
# Energy of formation in meV/atom: -85
# Total magnetic moment in Bohr magnetons per cell: 0.00


Record 6
# ScZn4Co2 (GGA-PBE, optimized geometry)
data_ScZn4Co2
_symmetry_space_group_name_H-M 'P 1'
_symmetry_Int_Tables_number 1
_cell_length_a 8.009
_cell_length_b 6.370
_cell_length_c 4.893
_cell_angle_alpha 90.00
_cell_angle_beta 127.49
_cell_angle_gamma 90.00
loop_
_symmetry_equiv_pos_as_xyz
'x,y,z'
loop_
_atom_site_label
_atom_site_type_symbol
_atom_site_fract_x
_atom_site_fract_y
_atom_site_fract_z
_atom_site_occupancy
Sc1 Sc 0.000 0.000 0.000 1
Sc2 Sc 0.500 0.500 0.000 1
Zn1 Zn 0.197 0.196 0.697 1
Zn2 Zn 0.197 0.804 0.697 1
Zn3 Zn 0.303 0.304 0.303 1
Zn4 Zn 0.303 0.696 0.303 1
Zn5 Zn 0.697 0.304 0.697 1
Zn6 Zn 0.697 0.696 0.697 1
Zn7 Zn 0.803 0.196 0.303 1
Zn8 Zn 0.803 0.804 0.303 1
Co1 Co 0.000 0.500 0.250 1
Co2 Co 0.000 0.500 0.750 1
Co3 Co 0.500 0.000 0.250 1
Co4 Co 0.500 0.000 0.750 1
# Energy of formation in meV/atom: -180
# Total magnetic moment in Bohr magnetons per cell: 4.83


Record 7
# Sc3ZnCo (GGA-PBE, optimized geometry)
data_Sc3ZnCo
_symmetry_space_group_name_H-M 'P 1'
_symmetry_Int_Tables_number 1
_cell_length_a 4.795
_cell_length_b 4.795
_cell_length_c 4.795
_cell_angle_alpha 90.00
_cell_angle_beta 90.00
_cell_angle_gamma 90.00
loop_
_symmetry_equiv_pos_as_xyz
'x,y,z'
loop_
_atom_site_label
_atom_site_type_symbol
_atom_site_fract_x
_atom_site_fract_y
_atom_site_fract_z
_atom_site_occupancy
Sc1 Sc 0.000 0.000 0.500 1
Sc2 Sc 0.000 0.500 0.000 1
Sc3 Sc 0.500 0.000 0.000 1
Zn1 Zn 0.500 0.500 0.500 1
Co1 Co 0.000 0.000 0.000 1
# Energy of formation in meV/atom: -22
# Offset from the most stable computed form in meV/atom: 270.1
# Total magnetic moment in Bohr magnetons per cell: 0.00


Record 8
# Sc12ZnCo5 (GGA-PBE, optimized geometry)
data_Sc12ZnCo5
_symmetry_space_group_name_H-M 'P 1'
_symmetry_Int_Tables_number 1
_cell_length_a 7.640
_cell_length_b 7.640
_cell_length_c 7.640
_cell_angle_alpha 111.39
_cell_angle_beta 110.96
_cell_angle_gamma 106.12
loop_
_symmetry_equiv_pos_as_xyz
'x,y,z'
loop_
_atom_site_label
_atom_site_type_symbol
_atom_site_fract_x
_atom_site_fract_y
_atom_site_fract_z
_atom_site_occupancy
Sc1 Sc 0.018 0.823 0.195 1
Sc2 Sc 0.232 0.541 0.309 1
Sc3 Sc 0.232 0.923 0.691 1
Sc4 Sc 0.274 0.320 0.594 1
Sc5 Sc 0.274 0.680 0.954 1
Sc6 Sc 0.372 0.177 0.195 1
Sc7 Sc 0.628 0.823 0.805 1
Sc8 Sc 0.726 0.320 0.046 1
Sc9 Sc 0.726 0.680 0.406 1
Sc10 Sc 0.768 0.077 0.309 1
Sc11 Sc 0.768 0.459 0.691 1
Sc12 Sc 0.982 0.177 0.805 1
Zn1 Zn 0.500 0.000 0.500 1
Co1 Co 0.000 0.154 0.154 1
Co2 Co 0.000 0.500 0.500 1
Co3 Co 0.000 0.846 0.846 1
Co4 Co 0.379 0.379 0.000 1
Co5 Co 0.621 0.621 0.000 1
# Energy of formation in meV/atom: -281
# Total magnetic moment in Bohr magnetons per cell: 0.00


Record 9
# ScZn4Co (GGA-PBE, optimized geometry)
data_ScZn4Co
_symmetry_space_group_name_H-M 'P 1'
_symmetry_Int_Tables_number 1
_cell_length_a 7.177
_cell_length_b 7.177
_cell_length_c 5.018
_cell_angle_alpha 110.43
_cell_angle_beta 110.43
_cell_angle_gamma 52.86
loop_
_symmetry_equiv_pos_as_xyz
'x,y,z'
loop_
_atom_site_label
_atom_site_type_symbol
_atom_site_fract_x
_atom_site_fract_y
_atom_site_fract_z
_atom_site_occupancy
Sc1 Sc 0.212 0.212 0.214 1
Sc2 Sc 0.788 0.788 0.786 1
Zn1 Zn 0.097 0.675 0.385 1
Zn2 Zn 0.193 0.807 0.000 1
Zn3 Zn 0.323 0.323 0.825 1
Zn4 Zn 0.325 0.903 0.615 1
Zn5 Zn 0.675 0.097 0.385 1
Zn6 Zn 0.677 0.677 0.175 1
Zn7 Zn 0.807 0.193 0.000 1
Zn8 Zn 0.903 0.325 0.615 1
Co1 Co 0.500 0.500 0.273 1
Co2 Co 0.500 0.500 0.727 1
# Energy of formation in meV/atom: -76
# Offset from the most stable computed form in meV/atom: 131.4
# Total magnetic moment in Bohr magnetons per cell: 2.13


Record 10
# ScZn4Co (GGA-PBE, optimized geometry)
data_ScZn4Co
_symmetry_space_group_name_H-M 'P 1'
_symmetry_Int_Tables_number 1
_cell_length_a 7.546
_cell_length_b 3.817
_cell_length_c 6.470
_cell_angle_alpha 90.00
_cell_angle_beta 90.00
_cell_angle_gamma 90.00
loop_
_symmetry_equiv_pos_as_xyz
'x,y,z'
loop_
_atom_site_label
_atom_site_type_symbol
_atom_site_fract_x
_atom_site_fract_y
_atom_site_fract_z
_atom_site_occupancy
Sc1 Sc 0.250 0.000 0.101 1
Sc2 Sc 0.750 0.000 0.899 1
Zn1 Zn 0.000 0.000 0.500 1
Zn2 Zn 0.054 0.500 0.811 1
Zn3 Zn 0.250 0.500 0.449 1
Zn4 Zn 0.446 0.500 0.811 1
Zn5 Zn 0.500 0.000 0.500 1
Zn6 Zn 0.554 0.500 0.189 1
Zn7 Zn 0.750 0.500 0.551 1
Zn8 Zn 0.946 0.500 0.189 1
Co1 Co 0.250 0.000 0.722 1
Co2 Co 0.750 0.000 0.278 1
# Energy of formation in meV/atom: -207
# Offset from the most stable computed form in meV/atom: 0.0
# Total magnetic moment in Bohr magnetons per cell: 0.00